No. 1
{"formula": "K2ErI5", "functional": "GGA-PBE", "state": "relaxed", "dft_energy_ev_per_atom": -3.225, "sg": "No. 62", "total_magnetization_mub_per_cell": 0.00, "cell": [[14.444, 0.000, 0.000], [0.000, 9.716, 0.000], [0.000, 0.000, 9.309]], "species": ["K", "K", "K", "K", "K", "K", "K", "K", "Er", "Er", "Er", "Er", "I", "I", "I", "I", "I", "I", "I", "I", "I", "I", "I", "I", "I", "I", "I", "I", "I", "I", "I", "I"], "frac_coords": [[0.170, 0.008, 0.082], [0.170, 0.492, 0.082], [0.330, 0.508, 0.582], [0.330, 0.992, 0.582], [0.670, 0.008, 0.418], [0.670, 0.492, 0.418], [0.830, 0.508, 0.918], [0.830, 0.992, 0.918], [0.006, 0.250, 0.578], [0.494, 0.750, 0.078], [0.506, 0.250, 0.922], [0.994, 0.750, 0.422], [0.011, 0.250, 0.918], [0.063, 0.548, 0.670], [0.063, 0.952, 0.670], [0.187, 0.250, 0.403], [0.200, 0.750, 0.357], [0.300, 0.250, 0.857], [0.313, 0.750, 0.903], [0.437, 0.048, 0.170], [0.437, 0.452, 0.170], [0.489, 0.750, 0.418], [0.511, 0.250, 0.582], [0.563, 0.548, 0.830], [0.563, 0.952, 0.830], [0.687, 0.250, 0.097], [0.700, 0.750, 0.143], [0.800, 0.250, 0.643], [0.813, 0.750, 0.597], [0.937, 0.048, 0.330], [0.937, 0.452, 0.330], [0.989, 0.750, 0.082]]}

=====

No. 2
{"formula": "KErI4", "functional": "GGA-PBE", "state": "relaxed", "dft_energy_ev_per_atom": -3.376, "sg": "No. 12", "total_magnetization_mub_per_cell": 0.00, "cell": [[7.615, -2.254, 0.000], [7.615, 2.254, 0.000], [-1.862, 0.000, 8.627]], "species": ["K", "Er", "I", "I", "I", "I"], "frac_coords": [[0.000, 0.000, 0.000], [0.500, 0.500, 0.500], [0.116, 0.116, 0.406], [0.382, 0.382, 0.186], [0.618, 0.618, 0.814], [0.884, 0.884, 0.594]]}

=====

No. 3
{"formula": "K2NaErI6", "functional": "GGA-PBE", "state": "relaxed", "dft_energy_ev_per_atom": -3.129, "sg": "No. 146", "total_magnetization_mub_per_cell": 0.00, "cell": [[4.249, 2.453, 7.121], [-4.249, 2.453, 7.121], [0.000, -4.907, 7.121]], "species": ["K", "K", "Na", "Er", "I", "I", "I", "I", "I", "I"], "frac_coords": [[0.000, 0.000, 0.000], [0.493, 0.493, 0.493], [0.211, 0.211, 0.211], [0.706, 0.706, 0.706], [0.040, 0.463, 0.851], [0.367, 0.934, 0.566], [0.463, 0.851, 0.040], [0.566, 0.367, 0.934], [0.851, 0.040, 0.463], [0.934, 0.566, 0.367]]}

=====

No. 4
{"formula": "KNa2ErI6", "functional": "GGA-PBE", "state": "relaxed", "dft_energy_ev_per_atom": -3.101, "sg": "No. 146", "total_magnetization_mub_per_cell": 0.00, "cell": [[4.079, 2.355, 7.436], [-4.079, 2.355, 7.436], [0.000, -4.711, 7.436]], "species": ["K", "Na", "Na", "Er", "I", "I", "I", "I", "I", "I"], "frac_coords": [[0.000, 0.000, 0.000], [0.298, 0.298, 0.298], [0.810, 0.810, 0.810], [0.486, 0.486, 0.486], [0.095, 0.676, 0.435], [0.243, 0.569, 0.868], [0.435, 0.095, 0.676], [0.569, 0.868, 0.243], [0.676, 0.435, 0.095], [0.868, 0.243, 0.569]]}

=====

No. 5
{"formula": "K2ErIO6", "functional": "GGA-PBE", "state": "relaxed", "dft_energy_ev_per_atom": -5.467, "sg": "No. 166", "total_magnetization_mub_per_cell": 0.00, "cell": [[3.046, 1.759, 9.921], [-3.046, 1.759, 9.921], [0.000, -3.517, 9.921]], "species": ["K", "K", "K", "K", "Er", "Er", "I", "I", "O", "O", "O", "O", "O", "O", "O", "O", "O", "O", "O", "O"], "frac_coords": [[0.135, 0.135, 0.135], [0.267, 0.267, 0.267], [0.733, 0.733, 0.733], [0.865, 0.865, 0.865], [0.400, 0.400, 0.400], [0.600, 0.600, 0.600], [0.000, 0.000, 0.000], [0.500, 0.500, 0.500], [0.174, 0.604, 0.604], [0.184, 0.184, 0.742], [0.184, 0.742, 0.184], [0.258, 0.816, 0.816], [0.396, 0.396, 0.826], [0.396, 0.826, 0.396], [0.604, 0.174, 0.604], [0.604, 0.604, 0.174], [0.742, 0.184, 0.184], [0.816, 0.258, 0.816], [0.816, 0.816, 0.258], [0.826, 0.396, 0.396]]}

=====

No. 6
{"formula": "KErIO6", "functional": "GGA-PBE", "state": "relaxed", "dft_energy_ev_per_atom": -5.507, "sg": "No. 149", "total_magnetization_mub_per_cell": 1.08, "cell": [[5.680, 0.000, 0.000], [-2.840, 4.919, 0.000], [0.000, 0.000, 5.766]], "species": ["K", "Er", "I", "O", "O", "O", "O", "O", "O"], "frac_coords": [[0.000, 0.000, 0.000], [0.333, 0.667, 0.500], [0.667, 0.333, 0.500], [0.406, 0.046, 0.688], [0.406, 0.360, 0.312], [0.640, 0.046, 0.312], [0.640, 0.594, 0.688], [0.954, 0.360, 0.688], [0.954, 0.594, 0.312]]}

=====

Number 1: formation energy without anion corrections -1.412 eV per atom. Number 2: formation energy without anion corrections -1.399 eV per atom. Number 3: formation energy without anion corrections -1.392 eV per atom. Number 4: formation energy without anion corrections -1.341 eV per atom. Number 5: formation energy without anion corrections -1.662 eV per atom. Number 6: formation energy without anion corrections -1.401 eV per atom.